20
Lattice="-2.454 -0.716 -5.505 5.636 -2.653 -4.097 -2.512 -7.019 0.103" Properties=species:S:1:pos:R:3 comment="NaV2HgO6 PBE+U optimized geometry" energy_ev_per_cell=-123.963 n_ef_per_ev_atom=0.43 sg="C2/c, No. 15" magnetic_moment_mub_per_fu=0.0 pbc="T T T"
O 3.025 -8.133 -4.659
O 0.422 -9.229 -6.702
O 0.248 -1.160 -2.796
O 0.636 -6.702 -5.380
O 2.562 -2.556 -3.422
O -1.426 -4.170 -6.750
O 0.034 -3.687 -4.118
O 2.096 -6.218 -2.748
O -1.892 -7.833 -6.076
O 3.143 -5.434 -5.287
O -2.355 -2.255 -4.839
O -2.473 -4.954 -4.211
V -1.572 -3.758 -4.981
V 0.966 -2.697 -2.905
V -0.296 -7.692 -6.594
V 2.243 -6.631 -4.518
Hg -0.963 -6.040 -2.388
Hg 1.633 -4.349 -7.111
Na 4.218 -3.263 -5.059
Na -3.548 -7.126 -4.440